This record from the Alexandria database describes a geometry-optimized BaAc3Pm2Te6 structure. The functional is PBE.

Lattice parameters (Å, degrees): 4.657 9.421 10.451 103.06 102.87 90.00
Fractional coordinates of all 12 atoms:
Ba1 0.500 0.000 0.000
Ac1 0.500 0.500 0.000
Ac2 0.838 0.173 0.675
Ac3 0.162 0.827 0.325
Pm1 0.830 0.657 0.659
Pm2 0.170 0.343 0.341
Te1 0.329 0.903 0.658
Te2 0.669 0.575 0.338
Te3 0.671 0.097 0.342
Te4 0.008 0.259 0.016
Te5 0.992 0.741 0.984
Te6 0.331 0.425 0.662

Its symmetry is C2/m. The uncorrected formation energy comes out at -1485 meV per atom.


This record from the Alexandria database describes a geometry-optimized FeCuRh2 structure. The functional is PBE.

Lattice parameters (Å, degrees): 6.660 6.660 5.398 51.91 51.91 90.00
Each line ends with the local moment (μB).
Fractional coordinates of all 8 atoms:
Rh1 0.601 0.125 0.250  0.20
Rh2 0.149 0.625 0.250  0.21
Rh3 0.375 0.399 0.750  0.23
Rh4 0.875 0.851 0.750  0.24
Fe1 0.500 0.500 0.000  2.65
Fe2 0.250 0.750 0.500  2.65
Cu1 0.000 0.000 0.000  0.03
Cu2 0.750 0.250 0.500  0.03

As for the energy relative to the elements: 441 meV per atom. Its symmetry is I-42d.


This record from the Alexandria database describes a geometry-optimized RbNaTlGe structure. The functional is PBE.

Lattice parameters (Å, degrees): 5.546 5.546 5.546 60.00 60.00 60.00
Fractional coordinates of all 4 atoms:
Na1 0.000 0.000 0.000
Tl1 0.500 0.500 0.500
Ge1 0.250 0.250 0.250
Rb1 0.750 0.750 0.750

As for the energy relative to the elements: 85 meV per atom. Its symmetry is F-43m.


This record from the Alexandria database describes a geometry-optimized NaBPOs2 structure. The functional is PBE.

Lattice parameters (Å, degrees): 4.452 3.966 4.452 90.00 90.00 90.00
Each line ends with the local moment (μB).
Fractional coordinates of all 5 atoms:
P1 0.000 0.000 0.000  -0.01
B1 0.000 0.500 0.000  -0.01
Os1 0.000 0.000 0.500  0.43
Os2 0.500 0.000 0.000  0.52
Na1 0.500 0.500 0.500  0.00

As for the energy relative to the elements: 1303 meV per atom. Its symmetry is P4/mmm.